[1]
Here is an optimized crystal structure of Si2BHRu from Alexandria. Energies are from PBE-GGA.

Structure (CIF):
```
data_Si2BHRu
_chemical_formula_sum 'Si2 B1 H1 Ru1'
_symmetry_space_group_name_H-M 'P 1'
_symmetry_Int_Tables_number 1
_symmetry_space_group_name_Hall 'P 1'
_cell_length_a 4.164
_cell_length_b 4.164
_cell_length_c 2.985
_cell_angle_alpha 90.00
_cell_angle_beta 90.00
_cell_angle_gamma 90.00
loop_
_atom_site_label
_atom_site_type_symbol
_atom_site_fract_x
_atom_site_fract_y
_atom_site_fract_z
_atom_site_occupancy
Si1 Si 0.000 0.500 0.000 1
Si2 Si 0.500 0.000 0.000 1
B1 B 0.000 0.000 0.500 1
H1 H 0.000 0.000 0.000 1
Ru1 Ru 0.500 0.500 0.500 1
```

Summary:
Its calculated total energy is -27.05 eV/cell. Its magnetic moment is 0.00 μB per atom.

***

[2]
Here is an optimized crystal structure of MgZnAs2Ir from Alexandria. Energies are from PBE-GGA.

Structure (CIF):
```
data_MgZnAs2Ir
_chemical_formula_sum 'Mg1 Zn1 As2 Ir1'
_symmetry_space_group_name_H-M 'P 1'
_symmetry_Int_Tables_number 1
_symmetry_space_group_name_Hall 'P 1'
_cell_length_a 4.877
_cell_length_b 4.877
_cell_length_c 4.819
_cell_angle_alpha 90.00
_cell_angle_beta 90.00
_cell_angle_gamma 90.00
loop_
_atom_site_label
_atom_site_type_symbol
_atom_site_fract_x
_atom_site_fract_y
_atom_site_fract_z
_atom_site_occupancy
Mg1 Mg 0.000 0.000 0.000 1
Zn1 Zn 0.500 0.500 0.000 1
As1 As 0.000 0.500 0.500 1
As2 As 0.500 0.000 0.500 1
Ir1 Ir 0.500 0.500 0.500 1
```

Summary:
Its calculated total energy is -19.53 eV/cell. Its magnetic moment is 0.00 μB per atom.

***

[3]
Here is an optimized crystal structure of ZnCo2Os from Alexandria. Energies are from PBE-GGA.

Structure (CIF):
```
data_ZnCo2Os
_chemical_formula_sum 'Zn1 Co2 Os1'
_symmetry_space_group_name_H-M 'P 1'
_symmetry_Int_Tables_number 1
_symmetry_space_group_name_Hall 'P 1'
_cell_length_a 2.602
_cell_length_b 4.022
_cell_length_c 4.849
_cell_angle_alpha 90.00
_cell_angle_beta 105.29
_cell_angle_gamma 90.00
loop_
_atom_site_label
_atom_site_type_symbol
_atom_site_fract_x
_atom_site_fract_y
_atom_site_fract_z
_atom_site_occupancy
Zn1 Zn 0.000 0.000 0.000 1
Co1 Co 0.594 0.500 0.190 1
Co2 Co 0.737 0.000 0.477 1
Os1 Os 0.331 0.500 0.668 1
```

Summary:
Its calculated total energy is -26.14 eV/cell. Its magnetic moment is 0.10 μB per atom.

***

[4]
Here is an optimized crystal structure of Mg8BiPb2 from Alexandria. Energies are from PBE-GGA.

Structure (CIF):
```
data_Mg8BiPb2
_chemical_formula_sum 'Mg8 Bi1 Pb2'
_symmetry_space_group_name_H-M 'P 1'
_symmetry_Int_Tables_number 1
_symmetry_space_group_name_Hall 'P 1'
_cell_length_a 8.804
_cell_length_b 8.804
_cell_length_c 7.177
_cell_angle_alpha 101.65
_cell_angle_beta 101.65
_cell_angle_gamma 30.26
loop_
_atom_site_label
_atom_site_type_symbol
_atom_site_fract_x
_atom_site_fract_y
_atom_site_fract_z
_atom_site_occupancy
Mg1 Mg 0.042 0.042 0.225 1
Mg2 Mg 0.220 0.220 0.141 1
Mg3 Mg 0.323 0.323 0.590 1
Mg4 Mg 0.409 0.409 0.040 1
Mg5 Mg 0.591 0.591 0.960 1
Mg6 Mg 0.677 0.677 0.410 1
Mg7 Mg 0.780 0.780 0.859 1
Mg8 Mg 0.958 0.958 0.775 1
Bi1 Bi 0.500 0.500 0.500 1
Pb1 Pb 0.153 0.153 0.698 1
Pb2 Pb 0.847 0.847 0.302 1
```

Summary:
Its calculated total energy is -24.51 eV/cell. For the distance to the lowest polymorph of the same formula, the calculation gives 17.1 meV/atom. Its magnetic moment is 0.00 μB per atom.

***

- calculated total energy of number 1 (Si2BHRu)?
  -27.05 eV/cell